This record from Alexandria describes a geometry-optimized AgHg structure. The functional is GGA-PBEsol.

```
AgHg
1.0
1.5092 -5.4237 0.0000
1.5092 5.4237 0.0000
0.0000 0.0000 4.6584
Ag Hg
2 2
Direct
0.0746 0.9254 0.7500 Ag
0.9254 0.0746 0.2500 Ag
0.3380 0.6620 0.7500 Hg
0.6620 0.3380 0.2500 Hg
```

Properties
Space group   No. 63
Energy of formation from the pure elements   0.11 eV/f.u.
Relative energy among the computed polymorphs   37 meV per atom